DFT (PBE-GGA) results for a geometry-optimized CaSbPd3 structure.

The structure in POSCAR format:
```
CaSbPd3
1.0
5.2783 0.0000 0.0000
0.0000 5.1964 -2.7343
0.0000 0.4148 7.0932
Ca Sb Pd
2 2 6
direct
0.7500 0.5890 0.1779 Ca
0.2500 0.4110 0.8221 Ca
0.7500 0.1803 0.3606 Sb
0.2500 0.8197 0.6394 Sb
0.7500 0.6003 0.6849 Pd
0.7500 0.0846 0.6849 Pd
0.2500 0.9154 0.3151 Pd
0.2500 0.3997 0.3151 Pd
0.0000 0.0000 0.0000 Pd
0.5000 0.0000 0.0000 Pd
```

Calculated values
ΔE_f (raw) = -0.5971 eV per atom
DOS(E_F) = 0.80 states/eV per atom
M_tot = 0.00 μB per atom
theoretical density = 8.0 Mg/m³